Density functional theory data (PBE-GGA) for a relaxed ZrMnInOs crystal.

a b c (Å): 4.6280 4.6280 4.6280
angles (deg): 60.00 60.00 60.00
Closest atoms and distances in Å follow each position.
Fractional positions:
Zr1 0.0000 0.0000 0.0000  4 Mn 2.83, 4 Os 2.83
Mn1 0.7500 0.7500 0.7500  4 Zr 2.83, 4 In 2.83
In1 0.5000 0.5000 0.5000  4 Mn 2.83, 4 Os 2.83
Os1 0.2500 0.2500 0.2500  4 In 2.83, 4 Zr 2.83

Summary:
* volume: 70.09 Å³ per cell
* formation enthalpy at 0 K: -0.06 eV/atom


Density functional theory data (PBE-GGA) for a relaxed Ca3AgMo crystal.

a b c (Å): 5.4353 5.4353 5.4353
angles (deg): 90.00 90.00 90.00
Closest atoms and distances in Å follow each position.
Fractional positions:
Ca1 0.0000 0.0000 0.5000  2 Mo 2.72
Ca2 0.0000 0.5000 0.0000  2 Mo 2.72
Ca3 0.5000 0.0000 0.0000  2 Mo 2.72
Ag1 0.5000 0.5000 0.5000  12 Ca 3.84
Mo1 0.0000 0.0000 0.0000  6 Ca 2.72

Summary:
* volume: 160.57 Å³ per cell
* polymorph energy (0 for the lowest one): 0.042 eV/atom
* formation enthalpy at 0 K: 0.81 eV/atom


Density functional theory data (PBE-GGA) for a relaxed KLaHfNbO6 crystal.

a b c (Å): 5.8025 5.8025 5.8025
angles (deg): 60.00 60.00 60.00
Closest atoms and distances in Å follow each position.
Fractional positions:
K1 0.0000 0.0000 0.0000  12 O 2.90
La1 0.5000 0.5000 0.5000  12 O 2.90
Hf1 0.7500 0.7500 0.7500  6 O 2.07
Nb1 0.2500 0.2500 0.2500  6 O 2.03
O1 0.0021 0.0021 0.4979  1 Nb 2.03, 1 Hf 2.07
O2 0.0021 0.4979 0.0021  1 Nb 2.03, 1 Hf 2.07
O3 0.0021 0.4979 0.4979  1 Nb 2.03, 1 Hf 2.07
O4 0.4979 0.0021 0.0021  1 Nb 2.03, 1 Hf 2.07
O5 0.4979 0.0021 0.4979  1 Nb 2.03, 1 Hf 2.07
O6 0.4979 0.4979 0.0021  1 Nb 2.03, 1 Hf 2.07

Summary:
* volume: 138.15 Å³ per cell
* raw formation energy: -29.0 eV/f.u.


Density functional theory data (PBE-GGA) for a relaxed Cd2In3Hg7 crystal.

a b c (Å): 5.2543 3.4438 17.6945
angles (deg): 90.00 95.27 90.00
Closest atoms and distances in Å follow each position.
Fractional positions:
Cd1 0.1432 0.0000 0.2950  5 Hg 2.93-3.20
Cd2 0.8568 0.0000 0.7050  5 Hg 2.93-3.20
In1 0.0000 0.0000 0.0000  8 Hg 3.14, 2 In 3.44
In2 0.3187 0.5000 0.6294  4 Cd 3.35-3.47, 8 Hg 3.42-3.62, 2 In 3.44
In3 0.6813 0.5000 0.3706  4 Cd 3.35-3.47, 8 Hg 3.42-3.62, 2 In 3.44
Hg1 0.0853 0.5000 0.1485  2 Cd 3.10, 2 In 3.14, 6 Hg 3.24-3.44
Hg2 0.2351 0.0000 0.4608  1 Cd 2.93, 2 Hg 2.94-2.99
Hg3 0.3978 0.0000 0.8045  2 Cd 3.11-3.20, 6 Hg 3.24-3.44
Hg4 0.5000 0.5000 0.0000  4 In 3.14, 2 Hg 3.44
Hg5 0.6022 0.0000 0.1955  2 Cd 3.11-3.20, 6 Hg 3.24-3.44
Hg6 0.7649 0.0000 0.5392  1 Cd 2.93, 2 Hg 2.94-2.99
Hg7 0.9147 0.5000 0.8515  2 Cd 3.10, 2 In 3.14, 6 Hg 3.24-3.44

Summary:
* volume: 318.83 Å³ per cell
* formation enthalpy at 0 K: 0.03 eV/atom


Density functional theory data (PBE-GGA) for a relaxed KPtPb6 crystal.

a b c (Å): 4.9361 4.9361 10.7159
angles (deg): 90.00 90.00 90.00
Closest atoms and distances in Å follow each position.
Fractional positions:
K1 0.0000 0.0000 0.0000  8 Pb 3.84
Pt1 0.0000 0.0000 0.5000  8 Pb 2.98
Pb1 0.0000 0.5000 0.3434  2 Pt 2.98, 2 Pb 3.23
Pb2 0.0000 0.5000 0.6566  2 Pt 2.98, 2 Pb 3.23
Pb3 0.5000 0.0000 0.3434  2 Pt 2.98, 2 Pb 3.23
Pb4 0.5000 0.0000 0.6566  2 Pt 2.98, 2 Pb 3.23
Pb5 0.5000 0.5000 0.1494  5 Pb 3.20-3.23
Pb6 0.5000 0.5000 0.8506  5 Pb 3.20-3.23

Summary:
* volume: 261.10 Å³ per cell
* formation enthalpy at 0 K: -0.10 eV/atom